A plane-wave DFT calculation with PBE-GGA was carried out for crystalline GaAg3As at its relaxed geometry.

POSCAR file:
```
GaAg3As
1.0
-4.412 -0.788 -2.191
-1.240 -3.177 3.641
-1.970 3.765 2.614
Ag Ga As
3 1 1
Direct
0.000 0.000 0.500 Ag
0.500 0.000 0.000 Ag
0.000 0.500 0.000 Ag
0.500 0.500 0.500 Ga
0.000 0.000 0.000 As
```

Results
As for the total magnetization: 0.000 μB/cell. The value obtained for the formation energy is 0.3409 eV per atom. As for the offset from the most stable computed form: 0 meV per atom.

A plane-wave DFT calculation with PBE-GGA was carried out for crystalline NaLiNO2 at its relaxed geometry.

POSCAR file:
```
NaLiNO2
1.0
3.835 0.000 0.000
0.000 3.835 0.000
0.000 0.000 4.164
Li O N Na
1 2 1 1
Direct
0.000 0.000 0.000 Li
0.500 0.000 0.000 O
0.000 0.500 0.000 O
0.000 0.000 0.500 N
0.500 0.500 0.500 Na
```

Results
As for the total magnetization: 5.003 μB/cell. Its uncorrected formation energy is 1.9 eV per formula unit.

A plane-wave DFT calculation with PBE-GGA was carried out for crystalline Mg8Tl2Zn3 at its relaxed geometry.

POSCAR file:
```
Mg8Tl2Zn3
1.0
4.552 0.000 0.000
0.000 8.017 -4.603
0.000 -0.451 8.488
Mg Zn Tl
8 3 2
Direct
0.000 0.875 0.750 Mg
0.500 0.869 0.238 Mg
0.500 0.632 0.763 Mg
0.000 0.391 0.782 Mg
0.500 0.131 0.762 Mg
0.500 0.368 0.237 Mg
0.000 0.609 0.218 Mg
0.000 0.125 0.250 Mg
0.500 0.000 0.000 Zn
0.000 0.239 0.999 Zn
0.000 0.761 0.001 Zn
0.500 0.256 0.512 Tl
0.500 0.744 0.488 Tl
```

Results
As for the total magnetization: 0.000 μB/cell. The value obtained for the formation energy is 0.0121 eV per atom.